The following is a PBE-GGA calculation of a relaxed Sm2DyGe2Pt7 crystal, from Alexandria via LeMat-Bulk.

Results
- formation enthalpy at 0 K (eV/f.u.) = -11.912

Lattice parameters (Å, degrees): 4.088 4.088 14.119 83.88 83.88 89.41
Fractional coordinates of all 12 atoms:
Sm  0.884  0.884  0.357
Sm  0.116  0.116  0.643
Pt  0.628  0.628  0.570
Pt  0.444  0.943  0.154
Pt  0.372  0.372  0.430
Pt  0.057  0.556  0.846
Pt  0.556  0.057  0.846
Pt  0.500  0.500  0.000
Pt  0.943  0.444  0.154
Ge  0.594  0.594  0.745
Ge  0.406  0.406  0.255
Dy  0.000  0.000  0.000

=====

The following is a PBE-GGA calculation of a relaxed TlAsP2O crystal, from Alexandria via LeMat-Bulk.

Results
- E_form (uncorrected) (eV/f.u.) = 1.5

Lattice parameters (Å, degrees): 4.954 4.954 3.753 90.00 90.00 90.00
Fractional coordinates of all 5 atoms:
P  0.500  0.000  0.000
P  0.000  0.500  0.000
O  0.000  0.000  0.500
As  0.000  0.000  0.000
Tl  0.500  0.500  0.500

=====

The following is a PBE-GGA calculation of a relaxed KSe2I2 crystal, from Alexandria via LeMat-Bulk.

Results
- E_form (uncorrected) (eV/f.u.) = -1.8

Lattice parameters (Å, degrees): 6.372 6.372 6.623 61.24 61.24 90.00
Fractional coordinates of all 5 atoms:
K  0.000  0.000  0.000
I  0.750  0.250  0.500
I  0.250  0.750  0.500
Se  0.388  0.388  0.224
Se  0.612  0.612  0.776

=====

The following is a PBE-GGA calculation of a relaxed NiAuBr crystal, from Alexandria via LeMat-Bulk.

Results
- E_form (uncorrected) (eV/f.u.) = 0.6

Lattice parameters (Å, degrees): 3.413 3.413 6.096 90.00 90.00 120.00
Site moments in Bohr magnetons follow the coordinates.
Fractional coordinates of all 3 atoms:
Au  0.000  0.000  0.929  0.06
Br  0.333  0.667  0.417  0.19
Ni  0.667  0.333  0.654  0.89

=====

The following is a PBE-GGA calculation of a relaxed TeP2Ir crystal, from Alexandria via LeMat-Bulk.

Results
- E_form (uncorrected) (eV/f.u.) = 0.6

Lattice parameters (Å, degrees): 6.643 6.643 6.643 31.76 31.76 31.76
Fractional coordinates of all 4 atoms:
Ir  0.266  0.266  0.266
P  0.994  0.994  0.994
P  0.740  0.740  0.740
Te  0.501  0.501  0.501

=====

The following is a PBE-GGA calculation of a relaxed Zn2ReCl crystal, from Alexandria via LeMat-Bulk.

Results
- E_form (uncorrected) (eV/f.u.) = 1.1

Lattice parameters (Å, degrees): 5.204 5.204 4.869 75.47 75.47 30.97
Fractional coordinates of all 4 atoms:
Cl  0.453  0.453  0.489
Zn  0.035  0.035  0.931
Zn  0.237  0.237  0.282
Re  0.775  0.775  0.798

=====

The following is a PBE-GGA calculation of a relaxed CeNd10Tm6 crystal, from Alexandria via LeMat-Bulk.

Results
- formation enthalpy at 0 K (eV/f.u.) = 2.563

Lattice parameters (Å, degrees): 6.907 9.806 9.806 120.00 90.00 90.00
Site moments in Bohr magnetons follow the coordinates.
Fractional coordinates of all 17 atoms:
Nd  0.181  0.277  0.277  -0.01
Nd  0.181  0.000  0.723  -0.01
Nd  0.000  0.667  0.333  -0.01
Nd  0.819  0.000  0.277  -0.01
Nd  0.181  0.723  0.000  -0.01
Nd  0.500  0.667  0.333  0.01
Nd  0.000  0.333  0.667  -0.01
Nd  0.500  0.333  0.667  0.01
Nd  0.819  0.277  0.000  -0.01
Nd  0.819  0.723  0.723  -0.01
Ce  0.500  0.000  0.000  0.75
Tm  0.684  0.633  0.000  -0.01
Tm  0.316  0.367  0.000  -0.01
Tm  0.684  0.000  0.633  -0.01
Tm  0.316  0.633  0.633  -0.01
Tm  0.684  0.367  0.367  -0.01
Tm  0.316  0.000  0.367  -0.01

=====

The following is a PBE-GGA calculation of a relaxed TiZnRh crystal, from Alexandria via LeMat-Bulk.

Results
- formation enthalpy at 0 K (eV/f.u.) = -1.413

Lattice parameters (Å, degrees): 2.788 4.290 4.290 120.00 90.00 90.00
Fractional coordinates of all 3 atoms:
Rh  0.682  0.333  0.667
Ti  0.955  0.000  0.000
Zn  0.363  0.667  0.333

=====

The following is a PBE-GGA calculation of a relaxed ZnInPt2 crystal, from Alexandria via LeMat-Bulk.

Results
- formation enthalpy at 0 K (eV/f.u.) = -0.616

Lattice parameters (Å, degrees): 4.041 4.041 9.449 77.65 77.65 90.00
Fractional coordinates of all 8 atoms:
Zn  0.500  0.500  0.000
Zn  0.250  0.750  0.500
Pt  0.375  0.394  0.750
Pt  0.875  0.856  0.750
Pt  0.144  0.625  0.250
Pt  0.606  0.125  0.250
In  0.750  0.250  0.500
In  0.000  0.000  0.000

=====

The following is a PBE-GGA calculation of a relaxed Na2Ta2PtSe6 crystal, from Alexandria via LeMat-Bulk.

Results
- E_form (uncorrected) (eV/f.u.) = -7.8

Lattice parameters (Å, degrees): 6.345 6.345 7.488 97.50 97.50 118.30
Fractional coordinates of all 11 atoms:
Na  0.174  0.826  0.000
Na  0.826  0.174  0.000
Ta  0.368  0.632  0.500
Ta  0.632  0.368  0.500
Se  0.381  0.035  0.688
Se  0.035  0.381  0.688
Se  0.324  0.324  0.225
Se  0.965  0.619  0.312
Se  0.619  0.965  0.312
Se  0.676  0.676  0.775
Pt  0.000  0.000  0.500

=====

The following is a PBE-GGA calculation of a relaxed Nd8Ag2Ru3 crystal, from Alexandria via LeMat-Bulk.

Results
- formation enthalpy at 0 K (eV/f.u.) = -1.748

Lattice parameters (Å, degrees): 5.013 10.044 8.947 124.19 90.00 90.00
Fractional coordinates of all 13 atoms:
Nd  0.500  0.360  0.226
Nd  0.500  0.640  0.774
Nd  0.500  0.864  0.225
Nd  0.000  0.114  0.230
Nd  0.500  0.136  0.775
Nd  0.000  0.611  0.224
Nd  0.000  0.389  0.776
Nd  0.000  0.886  0.770
Ag  0.500  0.747  0.493
Ag  0.500  0.253  0.507
Ru  0.000  0.250  0.000
Ru  0.000  0.750  0.000
Ru  0.500  0.000  0.000

=====

The following is a PBE-GGA calculation of a relaxed PaZn2CdO6 crystal, from Alexandria via LeMat-Bulk.

Results
- E_form (uncorrected) (eV/f.u.) = -19.2

Lattice parameters (Å, degrees): 5.711 7.125 7.125 87.41 82.39 82.39
Site moments in Bohr magnetons follow the coordinates.
Fractional coordinates of all 20 atoms:
O  0.633  0.786  0.987  0.12
O  0.867  0.013  0.214  0.12
O  0.367  0.214  0.013  0.12
O  0.098  0.623  0.156  0.10
O  0.402  0.844  0.377  0.10
O  0.133  0.987  0.786  0.12
O  0.876  0.713  0.557  0.08
O  0.376  0.557  0.713  0.08
O  0.624  0.443  0.287  0.08
O  0.598  0.156  0.623  0.10
O  0.902  0.377  0.844  0.10
O  0.124  0.287  0.443  0.08
Pa  0.750  0.720  0.280  0.01
Pa  0.250  0.280  0.720  0.01
Zn  0.187  0.781  0.605  0.02
Zn  0.687  0.605  0.781  0.02
Zn  0.813  0.219  0.395  0.02
Zn  0.313  0.395  0.219  0.02
Cd  0.250  0.910  0.090  0.03
Cd  0.750  0.090  0.910  0.03

=====

Copy entry 1 word for word.
The following is a PBE-GGA calculation of a relaxed Sm2DyGe2Pt7 crystal, from Alexandria via LeMat-Bulk.

Results
- formation enthalpy at 0 K (eV/f.u.) = -11.912

Lattice parameters (Å, degrees): 4.088 4.088 14.119 83.88 83.88 89.41
Fractional coordinates of all 12 atoms:
Sm  0.884  0.884  0.357
Sm  0.116  0.116  0.643
Pt  0.628  0.628  0.570
Pt  0.444  0.943  0.154
Pt  0.372  0.372  0.430
Pt  0.057  0.556  0.846
Pt  0.556  0.057  0.846
Pt  0.500  0.500  0.000
Pt  0.943  0.444  0.154
Ge  0.594  0.594  0.745
Ge  0.406  0.406  0.255
Dy  0.000  0.000  0.000